Pr3Si5Te12 | PBE | optimized geometry

```
data_Pr3Si5Te12
_chemical_formula_sum 'Pr24 Si40 Te96'
_cell_length_a 17.2716
_cell_length_b 17.2716
_cell_length_c 17.2716
_cell_angle_alpha 90.00
_cell_angle_beta 90.00
_cell_angle_gamma 90.00
_space_group_name_H-M_alt 'I a -3 d'
_space_group_IT_number 230
_space_group_name_Hall '-I 4bd 2c 3'
loop_
_atom_site_label
_atom_site_type_symbol
_atom_site_fract_x
_atom_site_fract_y
_atom_site_fract_z
_atom_site_occupancy
Pr1 Pr 0.0000 0.2500 0.1250 1
Si1 Si 0.0000 0.0000 0.0000 1
Si2 Si 0.0000 0.2500 0.3750 1
Te1 Te 0.0282 0.0586 0.6509 1
```

Values from the calculation:
ΔE_f (raw): -0.4635 eV per atom
Electronic total energy: -707.40 eV/cell
D(E_F): 33.1 states/eV per cell